# 1
Ce4HoPa3N8 (PBE, relaxed); theoretical density = 10.20 g/cm3; V = 15.57 Å³/atom; E = -9.3318 eV/atom; spin magnetization = 0.0 Bohr magnetons per cell; formation energy from raw total energies = -1.619 eV/atom
1.0
7.0500 0.0000 0.0000
0.0000 7.0744 0.0122
-3.5250 -3.5215 4.9875
Ce Ho Pa N
4 1 3 8
direct
0.5000 0.0000 0.0000
0.5000 0.0000 0.5000
0.0000 0.0000 0.0000
0.0000 0.0000 0.5000
0.0000 0.5000 0.0000
0.5000 0.5000 0.0000
0.5000 0.5000 0.5000
0.0000 0.5000 0.5000
0.2453 0.7264 0.9812
0.2452 0.7263 0.4904
0.2581 0.2745 0.5163
0.7360 0.7264 0.9812
0.2640 0.2736 0.0188
0.7419 0.7255 0.4837
0.7548 0.2737 0.5096
0.7547 0.2736 0.0188

# 2
Ce3Pm2HoN6 (PBE, relaxed); theoretical density = 8.31 g/cm3; V = 15.97 Å³/atom; E = -8.3434 eV/atom; spin magnetization = 0.3 Bohr magnetons per cell; formation energy from raw total energies = -1.524 eV/atom
1.0
-1.3652 5.2086 3.0201
-3.7632 -4.8776 0.4025
4.6678 -2.0121 3.4768
Ce Pm Ho N
3 2 1 6
direct
0.1661 0.8339 0.5000
0.8339 0.1661 0.5000
0.5000 0.5000 0.5000
0.3333 0.6667 0.0000
0.6667 0.3333 0.0000
0.0000 0.0000 0.0000
0.9145 0.5905 0.7435
0.7617 0.7617 0.2576
0.0855 0.4095 0.2565
0.5905 0.9145 0.7435
0.2383 0.2383 0.7424
0.4095 0.0855 0.2565

# 3
CePmHo2N4 (PBE, relaxed); theoretical density = 9.05 g/cm3; V = 15.39 Å³/atom; E = -8.2409 eV/atom; spin magnetization = 0.2 Bohr magnetons per cell; formation energy from raw total energies = -1.598 eV/atom
1.0
-1.6505 -1.6116 2.6600
1.5830 -5.4117 -2.2966
4.3268 1.9014 3.8367
Ce Pm Ho N
1 1 2 4
direct
0.0000 0.0000 0.0000
0.5000 0.5000 0.0000
0.5000 0.0000 0.5000
0.0000 0.5000 0.5000
0.5000 0.2470 0.2551
0.5000 0.7530 0.7449
0.0000 0.2407 0.7438
0.0000 0.7593 0.2562

# 4
CePm2HoN4 (PBE, relaxed); theoretical density = 8.50 g/cm3; V = 15.90 Å³/atom; E = -8.2005 eV/atom; spin magnetization = 0.0 Bohr magnetons per cell; formation energy from raw total energies = -1.536 eV/atom
1.0
-0.3794 -1.9218 2.9738
4.8709 -3.3948 -1.5723
1.8741 4.8175 3.3523
Ce Pm Ho N
1 2 1 4
direct
0.0000 0.0000 0.0000
0.5000 0.0000 0.5000
0.0000 0.5000 0.5000
0.5000 0.5000 0.0000
0.5000 0.2458 0.2374
0.5000 0.7542 0.7626
0.0000 0.2521 0.7632
0.0000 0.7479 0.2368

# 5
CePmHoN3 (PBE, relaxed); theoretical density = 8.49 g/cm3; V = 16.04 Å³/atom; E = -8.0393 eV/atom; spin magnetization = 1.4 Bohr magnetons per cell; formation energy from raw total energies = -1.333 eV/atom
1.0
3.4037 0.0000 0.0000
0.0000 5.9174 0.6724
0.0000 -1.6551 9.3713
Ce Pm Ho N
2 2 2 6
direct
0.7500 0.7284 0.7411
0.2500 0.2716 0.2589
0.2500 0.1994 0.6193
0.7500 0.8006 0.3807
0.2500 0.7580 0.0554
0.7500 0.2420 0.9446
0.2500 0.7791 0.5555
0.7500 0.0117 0.1472
0.7500 0.5151 0.1598
0.7500 0.2209 0.4445
0.2500 0.4849 0.8402
0.2500 0.9883 0.8528

# 6
Ce3PmHo2N6 (PBE, relaxed); theoretical density = 8.67 g/cm3; V = 15.63 Å³/atom; E = -8.3687 eV/atom; spin magnetization = 0.6 Bohr magnetons per cell; formation energy from raw total energies = -1.564 eV/atom
1.0
-0.2378 2.0005 -5.7864
4.6981 -3.4708 1.8499
-4.3924 -4.2537 -0.2086
Ce Pm Ho N
3 1 2 6
direct
0.1667 0.8333 0.5000
0.8333 0.1667 0.5000
0.5000 0.5000 0.5000
0.0000 0.0000 0.0000
0.3333 0.6667 0.0000
0.6667 0.3333 0.0000
0.9160 0.5733 0.7482
0.7405 0.7405 0.2503
0.0840 0.4267 0.2518
0.5733 0.9160 0.7482
0.2595 0.2595 0.7497
0.4267 0.0840 0.2518

# 7
Ce3Pm4HoN8 (PBE, relaxed); theoretical density = 8.23 g/cm3; V = 16.10 Å³/atom; E = -8.2614 eV/atom; spin magnetization = 0.0 Bohr magnetons per cell; formation energy from raw total energies = -1.512 eV/atom
1.0
-0.8527 4.9714 5.0539
2.8705 -4.4149 4.8271
3.5776 1.5635 -5.9784
Ce Pm Ho N
3 4 1 8
direct
0.5000 0.5000 0.0000
0.5000 0.5000 0.5000
0.0000 0.5000 0.5000
0.5000 0.0000 0.0000
0.5000 0.0000 0.5000
0.0000 0.0000 0.0000
0.0000 0.0000 0.5000
0.0000 0.5000 0.0000
0.2457 0.7365 0.9907
0.2457 0.7365 0.4914
0.2539 0.2616 0.5077
0.7450 0.7365 0.9907
0.2550 0.2635 0.0093
0.7461 0.7384 0.4923
0.7543 0.2635 0.5085
0.7543 0.2635 0.0093

# 8
CePrHoN3 (PBE, relaxed); theoretical density = 8.32 g/cm3; V = 16.23 Å³/atom; E = -8.0284 eV/atom; spin magnetization = 0.8 Bohr magnetons per cell; formation energy from raw total energies = -1.317 eV/atom
1.0
-0.9362 -1.1058 3.2234
5.8412 -1.0476 1.3371
-1.0076 8.7882 2.7223
Ce Pr Ho N
2 2 2 6
direct
0.2500 0.1506 0.6464
0.7500 0.8494 0.3536
0.7500 0.6646 0.6995
0.2500 0.3354 0.3005
0.2500 0.7675 0.0420
0.7500 0.2325 0.9580
0.2500 0.7510 0.4962
0.7500 0.0356 0.1509
0.7500 0.5414 0.1619
0.7500 0.2490 0.5038
0.2500 0.4586 0.8381
0.2500 0.9644 0.8491

Question: Number 4 is which compound?
Answer: CePm2HoN4

Question: Number 6 is which compound?
Answer: Ce3PmHo2N6